PBE+U PaMn2O4, optimized geometry; DOS at the Fermi energy = 2.1 states/eV per cell; V = 92.4 Å³ per cell; uncorrected energy = -8.569 eV per atom
1.0
-1.3787 3.5084 -1.2700
-3.6787 -1.7190 -0.7552
0.1852 2.1023 5.6066
O Mn Pa
4 2 1
Cartesian
-1.9251 2.6826 3.2713
-2.9471 1.2091 0.3101
-0.3740 0.2810 1.1822
-3.1195 0.1023 3.6692
-1.2325 2.1623 1.0822
-3.6396 1.7294 2.4993
-1.8393 -0.8595 -0.3776